Entry 1:
Below is a crystal of LiTa2Cd relaxed with PBEsol, with properties calculated at the meta-GGA SCAN level.

Cell: 3.0986 4.4060 10.1179 Å, 90.00 90.00 90.00°
Element x y z (fractional)
1 Li 0.0000 0.0000 0.0000
2 Li 0.5000 0.5000 0.5000
3 Ta 0.0000 0.5000 0.2483
4 Ta 0.0000 0.5000 0.7517
5 Ta 0.5000 0.0000 0.2517
6 Ta 0.5000 0.0000 0.7483
7 Cd 0.0000 0.0000 0.5000
8 Cd 0.5000 0.5000 0.0000

**E**: -41.253 eV/atom


Entry 2:
Below is a crystal of LiTa2Cd relaxed with PBEsol, with properties calculated at the meta-GGA SCAN level.

Cell: 3.3915 4.4727 9.4845 Å, 90.00 90.00 90.00°
Element x y z (fractional)
1 Li 0.0000 0.0000 0.0000
2 Li 0.5000 0.5000 0.0000
3 Ta 0.0000 0.0000 0.5036
4 Ta 0.0000 0.5000 0.7362
5 Ta 0.5000 0.0000 0.7362
6 Ta 0.5000 0.5000 0.5036
7 Cd 0.0000 0.5000 0.2435
8 Cd 0.5000 0.0000 0.2435

**E**: -41.399 eV/atom


Entry 3:
Below is a crystal of LiTa3Cd relaxed with PBEsol, with properties calculated at the meta-GGA SCAN level.

Cell: 4.4026 4.4026 4.4026 Å, 90.00 90.00 90.00°
Element x y z (fractional)
1 Li 0.0000 0.0000 0.0000
2 Ta 0.0000 0.0000 0.5000
3 Ta 0.0000 0.5000 0.0000
4 Ta 0.5000 0.0000 0.0000
5 Cd 0.5000 0.5000 0.5000

**E**: -45.377 eV/atom


Entry 4:
Below is a crystal of LiTa2Cd relaxed with PBEsol, with properties calculated at the meta-GGA SCAN level.

Cell: 3.0953 4.4138 5.0473 Å, 90.00 90.00 90.00°
Element x y z (fractional)
1 Li 0.0000 0.0000 0.0000
2 Ta 0.0000 0.5000 0.5000
3 Ta 0.5000 0.0000 0.5000
4 Cd 0.5000 0.5000 0.0000

**E**: -41.258 eV/atom


Entry 5:
Below is a crystal of LiTaCd3 relaxed with PBEsol, with properties calculated at the meta-GGA SCAN level.

Cell: 5.3612 5.3612 5.3612 Å, 90.00 90.00 90.00°
Element x y z (fractional)
1 Li 0.0000 0.0000 0.0000
2 Ta 0.5000 0.5000 0.5000
3 Cd 0.0000 0.5000 0.5000
4 Cd 0.5000 0.0000 0.5000
5 Cd 0.5000 0.5000 0.0000

**E**: -31.094 eV/atom


Entry 6:
Below is a crystal of LiTaCd2 relaxed with PBEsol, with properties calculated at the meta-GGA SCAN level.

Cell: 6.6098 6.6098 6.6098 Å, 90.00 90.00 90.00°
Element x y z (fractional)
1 Li 0.0000 0.0000 0.0000
2 Li 0.0000 0.5000 0.5000
3 Li 0.5000 0.0000 0.5000
4 Li 0.5000 0.5000 0.0000
5 Ta 0.0000 0.0000 0.5000
6 Ta 0.0000 0.5000 0.0000
7 Ta 0.5000 0.0000 0.0000
8 Ta 0.5000 0.5000 0.5000
9 Cd 0.2500 0.2500 0.2500
10 Cd 0.2500 0.2500 0.7500
11 Cd 0.2500 0.7500 0.2500
12 Cd 0.2500 0.7500 0.7500
13 Cd 0.7500 0.2500 0.2500
14 Cd 0.7500 0.2500 0.7500
15 Cd 0.7500 0.7500 0.2500
16 Cd 0.7500 0.7500 0.7500

**E**: -32.092 eV/atom


Entry 7:
Below is a crystal of LiTa2Cd relaxed with PBEsol, with properties calculated at the meta-GGA SCAN level.

Cell: 3.1007 4.5059 10.2706 Å, 90.00 90.00 90.00°
Element x y z (fractional)
1 Li 0.0000 0.0000 0.0000
2 Li 0.5000 0.5000 0.0000
3 Ta 0.0000 0.5000 0.2498
4 Ta 0.0000 0.5000 0.7502
5 Ta 0.5000 0.0000 0.2498
6 Ta 0.5000 0.0000 0.7502
7 Cd 0.0000 0.0000 0.5000
8 Cd 0.5000 0.5000 0.5000

**E**: -41.084 eV/atom


Entry 8:
Below is a crystal of LiCd2Tc relaxed with PBEsol, with properties calculated at the meta-GGA SCAN level.

Cell: 10.4908 2.7540 5.0104 Å, 90.00 112.82 90.00°
Element x y z (fractional)
1 Li 0.0000 0.0000 0.0000
2 Li 0.5000 0.5000 0.0000
3 Cd 0.0059 0.5000 0.5151
4 Cd 0.2528 0.5000 0.0804
5 Cd 0.5059 0.0000 0.5151
6 Cd 0.7528 0.0000 0.0804
7 Tc 0.2514 0.0000 0.5785
8 Tc 0.7514 0.5000 0.5785

**E**: -24.403 eV/atom


Entry 9:
Below is a crystal of LiCdTc relaxed with PBEsol, with properties calculated at the meta-GGA SCAN level.

Cell: 2.7419 2.7419 7.2360 Å, 90.00 90.00 120.00°
Element x y z (fractional)
1 Li 0.0000 0.0000 0.0000
2 Cd 0.6667 0.3333 0.3448
3 Tc 0.3333 0.6667 0.6892

**E**: -22.386 eV/atom


Entry 10:
Below is a crystal of LiCdTc relaxed with PBEsol, with properties calculated at the meta-GGA SCAN level.

Cell: 2.6418 2.6418 13.4420 Å, 90.00 90.00 90.00°
Element x y z (fractional)
1 Li 0.0000 0.0000 0.0000
2 Li 0.5000 0.5000 0.5000
3 Cd 0.0000 0.0000 0.3271
4 Cd 0.5000 0.5000 0.8271
5 Tc 0.0000 0.0000 0.6563
6 Tc 0.5000 0.5000 0.1563

**E**: -22.365 eV/atom


Entry 11:
Below is a crystal of LiCdTc relaxed with PBEsol, with properties calculated at the meta-GGA SCAN level.

Cell: 5.8360 5.8360 5.8360 Å, 90.00 90.00 90.00°
Element x y z (fractional)
1 Li 0.0000 0.0000 0.0000
2 Li 0.0000 0.5000 0.5000
3 Li 0.5000 0.0000 0.5000
4 Li 0.5000 0.5000 0.0000
5 Cd 0.2500 0.2500 0.7500
6 Cd 0.2500 0.7500 0.2500
7 Cd 0.7500 0.2500 0.2500
8 Cd 0.7500 0.7500 0.7500
9 Tc 0.2500 0.2500 0.2500
10 Tc 0.2500 0.7500 0.7500
11 Tc 0.7500 0.2500 0.7500
12 Tc 0.7500 0.7500 0.2500

**E**: -21.752 eV/atom


Entry 12:
Below is a crystal of LiCdTe2 relaxed with PBEsol, with properties calculated at the meta-GGA SCAN level.

Cell: 6.3101 8.1966 4.2697 Å, 90.00 111.64 90.00°
Element x y z (fractional)
1 Li 0.0000 0.0000 0.0000
2 Li 0.5000 0.5000 0.0000
3 Cd 0.0000 0.5000 0.0000
4 Cd 0.5000 0.0000 0.0000
5 Te 0.2500 0.2500 0.5000
6 Te 0.2500 0.7500 0.5000
7 Te 0.7500 0.2500 0.5000
8 Te 0.7500 0.7500 0.5000

**E**: -27.221 eV/atom
**Energy relative to the elements, uncorrected**: -1.58 eV per formula unit